No. 1
The following is a DFT calculation (GGA-PBE) of crystalline In3CuBi at its relaxed geometry.

Values from the calculation:
Energy relative to the elements: 141 meV per atom
Space group: Pm-3m (221)
Excess energy over the best structure of this formula in the dataset: 0.000 eV per atom

a b c (Å): 5.146 5.146 5.146
angles (deg): 90.00 90.00 90.00
Positions (direct):
Bi 0.500 0.500 0.500
Cu 0.000 0.000 0.000
In 0.000 0.500 0.000
In 0.000 0.000 0.500
In 0.500 0.000 0.000


No. 2
The following is a DFT calculation (GGA-PBE) of crystalline Mg3Si4 at its relaxed geometry.

Values from the calculation:
Space group: P1 (1)
Excess energy over the best structure of this formula in the dataset: 0.062 eV per atom

a b c (Å): 3.690 8.576 9.807
angles (deg): 115.13 90.31 101.96
Positions (direct):
Mg 0.937 0.441 0.330
Mg 0.286 0.133 0.069
Mg 0.711 0.975 0.250
Mg 0.830 0.212 0.588
Mg 0.509 0.574 0.634
Mg 0.075 0.701 0.972
Si 0.341 0.242 0.392
Si 0.431 0.414 0.838
Si 0.700 0.959 0.704
Si 0.616 0.781 0.433
Si 0.086 0.721 0.256
Si 0.859 0.264 0.895
Si 0.465 0.490 0.111
Si 0.147 0.846 0.781


No. 3
The following is a DFT calculation (GGA-PBE) of crystalline K3Au at its relaxed geometry.

Values from the calculation:
Energy relative to the elements: -134 meV per atom
Space group: Pmmn (59)

a b c (Å): 4.665 10.860 7.910
angles (deg): 90.00 90.00 90.00
Positions (direct):
Au 0.000 0.315 0.000
Au 0.500 0.685 0.500
K 0.500 0.537 0.000
K 0.000 0.463 0.500
K 0.000 0.830 0.260
K 0.000 0.830 0.740
K 0.500 0.170 0.760
K 0.500 0.170 0.240


Calculated density / g/cm3: 7.52 2.25 2.60
Total moment / μB/atom: 0.000 0.000 0.000